Entry 1:
Material: La4NiH2
Method: DFT, PBE-GGA
State: optimized geometry

Properties
theoretical density = 5.73 Mg/m³
size of the total moment = 0.050 μB per atom
crystal system = tetragonal
uncorrected energy = -0.3482 Ry per atom
space-group type = No. 139
DOS(E_F) = 1.351 states/eV/atom

abc: 7.422 7.422 7.422
angles: 138.36 138.36 60.36
Positions (direct):
1 La 0.000 0.500 0.500
2 La 0.243 0.243 0.000
3 La 0.500 0.000 0.500
4 La 0.757 0.757 0.000
5 Ni 0.000 0.000 0.000
6 H 0.425 0.425 0.000
7 H 0.575 0.575 0.000

Entry 2:
Material: LaNiH2
Method: DFT, PBE-GGA
State: optimized geometry

Properties
theoretical density = 6.51 Mg/m³
size of the total moment = 0.124 μB per atom
crystal system = cubic
excess energy over the best structure of this formula in the dataset = 235 meV per atom
space-group type = No. 225
DOS(E_F) = 0.583 states/eV/atom

abc: 4.161 4.161 4.161
angles: 60.00 60.00 60.00
Positions (direct):
1 La 0.000 0.000 0.000
2 Ni 0.500 0.500 0.500
3 H 0.250 0.250 0.250
4 H 0.750 0.750 0.750

Entry 3:
Material: LaNiH2
Method: DFT, PBE-GGA
State: optimized geometry

Properties
theoretical density = 5.77 Mg/m³
size of the total moment = 0.000 μB per atom
crystal system = trigonal
excess energy over the best structure of this formula in the dataset = 0 meV per atom
space-group type = No. 166
DOS(E_F) = 0.355 states/eV/atom

abc: 4.460 4.460 4.460
angles: 56.36 56.36 56.36
Positions (direct):
1 La 0.000 0.000 0.000
2 Ni 0.500 0.500 0.500
3 H 0.362 0.362 0.362
4 H 0.638 0.638 0.638

Entry 4:
Material: LaNiH
Method: DFT, PBE-GGA
State: optimized geometry

Properties
theoretical density = 6.38 Mg/m³
size of the total moment = 0.000 μB per atom
crystal system = monoclinic
excess energy over the best structure of this formula in the dataset = 47 meV per atom
space-group type = No. 14
DOS(E_F) = 0.814 states/eV/atom

abc: 7.173 3.921 7.623
angles: 90.00 105.46 90.00
Positions (direct):
1 La 0.220 0.118 0.441
2 La 0.220 0.382 0.941
3 La 0.780 0.618 0.059
4 La 0.780 0.882 0.559
5 Ni 0.492 0.503 0.334
6 Ni 0.492 0.997 0.834
7 Ni 0.508 0.003 0.166
8 Ni 0.508 0.497 0.666
9 H 0.008 0.148 0.135
10 H 0.008 0.352 0.635
11 H 0.992 0.648 0.365
12 H 0.992 0.852 0.865

Entry 5:
Material: La2NiH
Method: DFT, PBE-GGA
State: optimized geometry

Properties
theoretical density = 6.82 Mg/m³
size of the total moment = 0.000 μB per atom
crystal system = cubic
excess energy over the best structure of this formula in the dataset = 193 meV per atom
space-group type = No. 225
DOS(E_F) = 1.189 states/eV/atom

abc: 4.879 4.879 4.879
angles: 60.00 60.00 60.00
Positions (direct):
1 La 0.250 0.250 0.250
2 La 0.750 0.750 0.750
3 Ni 0.000 0.000 0.000
4 H 0.500 0.500 0.500

Entry 6:
Material: LaNiH3
Method: DFT, PBE-GGA
State: optimized geometry

Properties
theoretical density = 3.96 Mg/m³
size of the total moment = 0.227 μB per atom
crystal system = cubic
uncorrected energy = -0.2674 Ry per atom
space-group type = No. 221
DOS(E_F) = 1.285 states/eV/atom

abc: 4.380 4.380 4.380
angles: 90.00 90.00 90.00
Positions (direct):
1 La 0.000 0.000 0.000
2 Ni 0.500 0.500 0.500
3 H 0.000 0.000 0.500
4 H 0.000 0.500 0.000
5 H 0.500 0.000 0.000

Entry 7:
Material: LaNi2H8
Method: DFT, PBE-GGA
State: optimized geometry

Properties
theoretical density = 5.51 Mg/m³
size of the total moment = 0.000 μB per atom
crystal system = orthorhombic
excess energy over the best structure of this formula in the dataset = 0 meV per atom
space-group type = No. 65
DOS(E_F) = 0.154 states/eV/atom

abc: 4.430 4.430 4.540
angles: 90.00 90.00 116.63
Positions (direct):
1 La 0.000 0.000 0.000
2 Ni 0.329 0.671 0.500
3 Ni 0.671 0.329 0.500
4 H 0.022 0.299 0.500
5 H 0.299 0.022 0.500
6 H 0.327 0.673 0.000
7 H 0.500 0.500 0.270
8 H 0.500 0.500 0.730
9 H 0.673 0.327 0.000
10 H 0.701 0.978 0.500
11 H 0.978 0.701 0.500

Entry 8:
Material: LaNi2H8
Method: DFT, PBE-GGA
State: optimized geometry

Properties
theoretical density = 4.90 Mg/m³
size of the total moment = 0.000 μB per atom
crystal system = tetragonal
excess energy over the best structure of this formula in the dataset = 98 meV per atom
space-group type = No. 139
DOS(E_F) = 0.091 states/eV/atom

abc: 5.992 5.992 5.992
angles: 139.59 139.59 58.47
Positions (direct):
1 La 0.000 0.000 0.000
2 Ni 0.250 0.750 0.500
3 Ni 0.750 0.250 0.500
4 H 0.110 0.110 0.557
5 H 0.110 0.554 0.000
6 H 0.446 0.446 0.557
7 H 0.446 0.890 0.000
8 H 0.554 0.110 0.000
9 H 0.554 0.554 0.443
10 H 0.890 0.446 0.000
11 H 0.890 0.890 0.443

Entry 9:
Material: La2NiH2
Method: DFT, PBE-GGA
State: optimized geometry

Properties
theoretical density = 6.30 Mg/m³
size of the total moment = 0.000 μB per atom
crystal system = tetragonal
excess energy over the best structure of this formula in the dataset = 0 meV per atom
space-group type = No. 139
DOS(E_F) = 0.683 states/eV/atom

abc: 7.114 7.114 7.114
angles: 150.10 150.10 42.79
Positions (direct):
1 La 0.133 0.133 0.000
2 La 0.867 0.867 0.000
3 Ni 0.500 0.500 0.000
4 H 0.250 0.750 0.500
5 H 0.750 0.250 0.500

Entry 10:
Material: LaNi4H7
Method: DFT, PBE-GGA
State: optimized geometry

Properties
theoretical density = 6.39 Mg/m³
size of the total moment = 0.000 μB per atom
crystal system = orthorhombic
uncorrected energy = -0.3345 Ry per atom
space-group type = No. 59
DOS(E_F) = 0.492 states/eV/atom

abc: 3.729 11.776 4.507
angles: 90.00 90.00 90.00
Positions (direct):
1 La 0.250 0.250 0.207
2 La 0.750 0.750 0.793
3 Ni 0.250 0.508 0.804
4 Ni 0.250 0.632 0.299
5 Ni 0.250 0.868 0.299
6 Ni 0.250 0.992 0.804
7 Ni 0.750 0.008 0.196
8 Ni 0.750 0.132 0.701
9 Ni 0.750 0.368 0.701
10 Ni 0.750 0.492 0.196
11 H 0.250 0.004 0.180
12 H 0.250 0.129 0.711
13 H 0.250 0.371 0.711
14 H 0.250 0.496 0.180
15 H 0.250 0.634 0.657
16 H 0.250 0.750 0.126
17 H 0.250 0.866 0.657
18 H 0.750 0.134 0.343
19 H 0.750 0.250 0.874
20 H 0.750 0.366 0.343
21 H 0.750 0.504 0.820
22 H 0.750 0.629 0.289
23 H 0.750 0.871 0.289
24 H 0.750 0.996 0.820

Entry 11:
Material: La2NiH
Method: DFT, PBE-GGA
State: optimized geometry

Properties
theoretical density = 6.30 Mg/m³
size of the total moment = 0.000 μB per atom
crystal system = monoclinic
excess energy over the best structure of this formula in the dataset = 66 meV per atom
space-group type = No. 8
DOS(E_F) = 0.908 states/eV/atom

abc: 3.859 3.859 7.246
angles: 105.38 105.38 60.04
Positions (direct):
1 La 0.000 0.000 0.000
2 La 0.165 0.165 0.495
3 Ni 0.584 0.584 0.751
4 H 0.750 0.750 0.249

Entry 12:
Material: LaNiH
Method: DFT, PBE-GGA
State: optimized geometry

Properties
theoretical density = 6.86 Mg/m³
size of the total moment = 0.000 μB per atom
crystal system = hexagonal
excess energy over the best structure of this formula in the dataset = 264 meV per atom
space-group type = No. 187
DOS(E_F) = 0.400 states/eV/atom

abc: 3.961 3.961 3.541
angles: 90.00 90.00 120.00
Positions (direct):
1 La 0.000 0.000 0.000
2 Ni 0.333 0.667 0.500
3 H 0.667 0.333 0.500